Entry 1:
The following is a DFT calculation (PBE) of a relaxed structure of ZrCd4.

Properties
Formation enthalpy at 0 K (eV per formula unit): 0.3
Relative energy among the computed polymorphs (kJ per mole of atoms): 11.31
Crystal system: tetragonal
DFT total energy (eV for the cell shown): -11.91

Cell lengths 5.4082, 5.4082, 5.4082 Å; angles 100.32, 100.32, 129.93 degrees
Positions (direct):
Cd 0.7986 0.4126 0.2111
Cd 0.4126 0.2014 0.6140
Cd 0.5874 0.7986 0.3860
Cd 0.2014 0.5874 0.7889
Zr 0.0000 0.0000 0.0000

---

Entry 2:
The following is a DFT calculation (PBE) of a relaxed structure of BeMoIr2.

Properties
Formation enthalpy at 0 K (eV per formula unit): 0.5
Crystal system: orthorhombic
DFT total energy (eV for the cell shown): -31.80

Cell lengths 2.6978, 2.6978, 8.4440 Å; angles 90.00, 90.00, 115.34 degrees
Positions (direct):
Ir 0.0000 0.0000 0.9678
Ir 0.5000 0.5000 0.2548
Mo 0.0000 0.0000 0.5160
Be 0.5000 0.5000 0.7613

---

Entry 3:
The following is a DFT calculation (PBE) of a relaxed structure of Ba3DyRh2O9.

Properties
Crystal system: trigonal
DFT total energy (eV for the cell shown): -100.29
Formation energy without anion corrections (eV per atom): -2.0394

Cell lengths 5.8811, 5.8811, 7.2352 Å; angles 90.00, 90.00, 120.00 degrees
Positions (direct):
O 0.1761 0.3522 0.3201
O 0.3522 0.1761 0.6799
O 0.0000 0.5000 0.0000
Ba 0.3333 0.6667 0.6766
Ba 0.6667 0.3333 0.3234
O 0.8239 0.6478 0.6799
O 0.1761 0.8239 0.3201
O 0.6478 0.8239 0.3201
O 0.5000 0.0000 0.0000
Ba 0.0000 0.0000 0.0000
O 0.5000 0.5000 0.0000
Rh 0.6667 0.3333 0.8395
O 0.8239 0.1761 0.6799
Dy 0.0000 0.0000 0.5000
Rh 0.3333 0.6667 0.1605

---

Entry 4:
The following is a DFT calculation (PBE) of a relaxed structure of Np3BSe6.

Properties
Crystal system: orthorhombic
DFT total energy (eV for the cell shown): -149.41
Formation energy without anion corrections (eV per atom): -0.8297

Cell lengths 6.6376, 8.7957, 8.7957 Å; angles 101.68, 90.00, 90.00 degrees
Positions (direct):
Se 0.7160 0.2127 0.7873
Se 0.6684 0.5890 0.1031
Np 0.4837 0.2752 0.0790
Np 0.9837 0.0790 0.2752
B 0.0323 0.1991 0.8009
Np 0.9837 0.7248 0.9210
Np 0.3992 0.3936 0.6064
Se 0.1684 0.1031 0.5890
Se 0.6684 0.8969 0.4110
B 0.5323 0.8009 0.1991
Se 0.2160 0.7873 0.2127
Se 0.6447 0.9471 0.0529
Se 0.1945 0.6892 0.6315
Se 0.1684 0.4110 0.8969
Se 0.6945 0.3108 0.3685
Np 0.8992 0.6064 0.3936
Se 0.6945 0.6315 0.6892
Np 0.4837 0.9210 0.7248
Se 0.1945 0.3685 0.3108
Se 0.1447 0.0529 0.9471

---

Entry 5:
The following is a DFT calculation (PBE) of a relaxed structure of NaAl6Zn4.

Properties
Formation enthalpy at 0 K (eV per formula unit): 2.0
Crystal system: tetragonal
DFT total energy (eV for the cell shown): -26.90

Cell lengths 6.8318, 6.8318, 6.8318 Å; angles 87.01, 121.74, 121.74 degrees
Positions (direct):
Zn 0.0000 0.1134 0.5830
Al 0.3070 0.5378 0.5378
Al 0.0000 0.7692 0.4622
Zn 0.5304 0.4170 0.4170
Al 0.6930 0.2308 0.2308
Zn 0.4696 0.8866 0.8866
Zn 0.0000 0.5830 0.1134
Al 0.5000 0.0000 0.5000
Al 0.0000 0.4622 0.7692
Al 0.5000 0.5000 0.0000
Na 0.0000 0.0000 0.0000

---

Entry 6:
The following is a DFT calculation (PBE) of a relaxed structure of Pm2Zn4Ga3Rh.

Properties
Formation enthalpy at 0 K (eV per formula unit): -4.6
Crystal system: tetragonal
DFT total energy (eV for the cell shown): -35.63

Cell lengths 4.1934, 4.1934, 10.6842 Å; angles 90.00, 90.00, 90.00 degrees
Positions (direct):
Ga 0.0000 0.0000 0.5000
Zn 0.5000 0.0000 0.6355
Pm 0.5000 0.0000 0.2522
Pm 0.0000 0.5000 0.7478
Zn 0.0000 0.0000 0.0000
Zn 0.0000 0.5000 0.3645
Ga 0.5000 0.0000 0.8642
Rh 0.5000 0.5000 0.5000
Zn 0.5000 0.5000 0.0000
Ga 0.0000 0.5000 0.1358

---

Entry 7:
The following is a DFT calculation (PBE) of a relaxed structure of Ca2SnSbAu6.

Properties
Crystal system: cubic
DFT total energy (eV for the cell shown): -32.89
Formation energy without anion corrections (eV per atom): -0.1096

Cell lengths 7.3933, 7.3933, 7.3934 Å; angles 60.00, 60.00, 90.00 degrees
Positions (direct):
Ca 0.7500 0.2500 0.5000
Au 0.2503 0.2503 0.4993
Au 0.7497 0.7497 0.5007
Au 0.7497 0.7497 0.0000
Ca 0.2500 0.7500 0.5000
Au 0.2503 0.2503 0.0000
Au 0.2503 0.7497 0.0000
Au 0.7497 0.2503 0.0000
Sb 0.0000 0.0000 0.0000
Sn 0.5000 0.5000 0.0000

---

Question: Number 1 is which compound?
Answer: ZrCd4

---

Question: What is the DFT total energy in the fourth record?
Answer: -149.41 eV for the cell shown

---

Question: Look up the DFT total energy of the fourth one.
Answer: -149.41 eV for the cell shown